Here is a relaxed LiP3Br crystal from Alexandria. Energies are from GGA-PBE.

## Properties
* N(E_F): 4.83 states/eV/cell
* space group: No. 221
* crystal system: cubic
* uncorrected formation energy: 1006 meV/atom
* ΔE to the lowest computed polymorph: 0 meV/atom

a b c (Å): 4.493 4.493 4.493
angles (deg): 90.00 90.00 90.00
Sites, in units of the cell vectors:
1 P 0.000 0.500 0.000
2 P 0.000 0.000 0.500
3 P 0.500 0.000 0.000
4 Br 0.500 0.500 0.500
5 Li 0.000 0.000 0.000


Here is a relaxed LiPBr2 crystal from Alexandria. Energies are from GGA-PBE.

## Properties
* N(E_F): 3.53 states/eV/cell
* space group: No. 216
* crystal system: cubic
* uncorrected formation energy: 371 meV/atom
* ΔE to the lowest computed polymorph: 736 meV/atom

a b c (Å): 5.156 5.156 5.156
angles (deg): 60.00 60.00 60.00
Site moments in Bohr magnetons follow the coordinates.
Sites, in units of the cell vectors:
1 Br 0.000 0.000 0.000  0.13
2 Br 0.750 0.750 0.750  0.08
3 Li 0.500 0.500 0.500  0.02
4 P 0.250 0.250 0.250  0.73


Here is a relaxed LiPBr2 crystal from Alexandria. Energies are from GGA-PBE.

## Properties
* N(E_F): 1.34 states/eV/cell
* space group: No. 123
* crystal system: tetragonal
* uncorrected formation energy: -294 meV/atom
* ΔE to the lowest computed polymorph: 71 meV/atom

a b c (Å): 3.951 3.954 5.762
angles (deg): 90.00 90.00 90.00
Sites, in units of the cell vectors:
1 Br 0.000 0.000 0.875
2 Br 0.500 0.500 0.375
3 Li 0.000 0.000 0.375
4 P 0.500 0.500 0.875


Here is a relaxed LiPBr crystal from Alexandria. Energies are from GGA-PBE.

## Properties
* N(E_F): 0.17 states/eV/cell
* space group: No. 8
* crystal system: monoclinic
* uncorrected formation energy: -747 meV/atom
* ΔE to the lowest computed polymorph: 61 meV/atom

a b c (Å): 6.185 3.428 14.169
angles (deg): 90.00 109.05 90.00
Sites, in units of the cell vectors:
1 Li 0.319 0.000 0.881
2 Li 0.319 0.500 0.381
3 Li 0.123 0.000 0.061
4 Li 0.123 0.500 0.561
5 P 0.732 0.000 0.656
6 P 0.732 0.500 0.156
7 P 0.666 0.000 0.052
8 P 0.666 0.500 0.552
9 Br 0.330 0.000 0.703
10 Br 0.330 0.500 0.203
11 Br 0.069 0.000 0.418
12 Br 0.069 0.500 0.918


Here is a relaxed LiPBr crystal from Alexandria. Energies are from GGA-PBE.

## Properties
* N(E_F): 2.54 states/eV/cell
* space group: No. 156
* crystal system: trigonal
* uncorrected formation energy: 235 meV/atom
* ΔE to the lowest computed polymorph: 1043 meV/atom

a b c (Å): 4.370 4.370 3.613
angles (deg): 90.00 90.00 120.00
Sites, in units of the cell vectors:
1 Br 0.000 0.000 0.072
2 Li 0.333 0.667 0.330
3 P 0.667 0.333 0.598


Here is a relaxed LiPBr crystal from Alexandria. Energies are from GGA-PBE.

## Properties
* N(E_F): 1.82 states/eV/cell
* space group: No. 156
* crystal system: trigonal
* uncorrected formation energy: 46 meV/atom
* ΔE to the lowest computed polymorph: 854 meV/atom

a b c (Å): 3.049 3.049 8.331
angles (deg): 90.00 90.00 120.00
Site moments in Bohr magnetons follow the coordinates.
Sites, in units of the cell vectors:
1 Br 0.000 0.000 0.101  0.01
2 Li 0.667 0.333 0.325  0.01
3 P 0.333 0.667 0.574  0.23


Here is a relaxed LiPBr3 crystal from Alexandria. Energies are from GGA-PBE.

## Properties
* N(E_F): 2.02 states/eV/cell
* space group: No. 221
* crystal system: cubic
* uncorrected formation energy: 164 meV/atom
* ΔE to the lowest computed polymorph: 887 meV/atom

a b c (Å): 4.965 4.965 4.965
angles (deg): 90.00 90.00 90.00
Site moments in Bohr magnetons follow the coordinates.
Sites, in units of the cell vectors:
1 P 0.500 0.500 0.500  0.60
2 Br 0.000 0.500 0.000  -0.07
3 Br 0.000 0.000 0.500  -0.07
4 Br 0.500 0.000 0.000  -0.10
5 Li 0.000 0.000 0.000  0.00


Here is a relaxed LiPBr4 crystal from Alexandria. Energies are from GGA-PBE.

## Properties
* N(E_F): 6.09 states/eV/cell
* space group: No. 216
* crystal system: cubic
* uncorrected formation energy: 574 meV/atom

a b c (Å): 6.382 6.382 6.382
angles (deg): 60.00 60.00 60.00
Site moments in Bohr magnetons follow the coordinates.
Sites, in units of the cell vectors:
1 Li 0.750 0.750 0.750  0.00
2 P 0.000 0.000 0.000  1.10
3 Br 0.875 0.375 0.375  -0.06
4 Br 0.375 0.375 0.875  -0.06
5 Br 0.375 0.875 0.375  -0.06
6 Br 0.375 0.375 0.375  -0.06


Calculated total energy (eV/atom)
-2.96; -2.30; -2.96; -3.75; -2.76; -2.95; -2.30; -1.76
Calculated density (kg/m³)
3292; 3388; 3647; 2756; 3275; 2918; 3768; 3230